# 1
A plane-wave DFT calculation with PBE was carried out for crystalline TbTeN3 at its relaxed geometry.

Output
Uncorrected energy, eV per atom: -6.558
Space-group type: No. 11

a = 5.8404 Å, b = 3.8070 Å, c = 7.9487 Å
α = 90.00°, β = 110.51°, γ = 90.00°
Atoms (fractional coordinates):
Tb  0.0470  0.2500  0.3184
Tb  0.9530  0.7500  0.6816
Te  0.4864  0.2500  0.8223
Te  0.5136  0.7500  0.1777
N  0.1774  0.2500  0.6227
N  0.2236  0.7500  0.2334
N  0.3952  0.7500  0.8930
N  0.6048  0.2500  0.1070
N  0.7764  0.2500  0.7666
N  0.8226  0.7500  0.3773

# 2
A plane-wave DFT calculation with PBE was carried out for crystalline SmZrGa at its relaxed geometry.

Output
Polymorph energy (0 for the lowest one), eV per atom: 0.000
Space-group type: No. 216

a = 4.8010 Å, b = 4.8010 Å, c = 4.8010 Å
α = 60.00°, β = 60.00°, γ = 60.00°
Atoms (fractional coordinates):
Sm  0.0000  0.0000  0.0000
Zr  0.5000  0.5000  0.5000
Ga  0.2500  0.2500  0.2500

# 3
A plane-wave DFT calculation with PBE was carried out for crystalline TlMoPd at its relaxed geometry.

Output
Uncorrected energy, eV per atom: -5.110
Space-group type: No. 216

a = 4.4821 Å, b = 4.4821 Å, c = 4.4821 Å
α = 60.00°, β = 60.00°, γ = 60.00°
Atoms (fractional coordinates):
Tl  0.0000  0.0000  0.0000
Mo  0.7500  0.7500  0.7500
Pd  0.2500  0.2500  0.2500

# 4
A plane-wave DFT calculation with PBE was carried out for crystalline KAlAg at its relaxed geometry.

Output
Polymorph energy (0 for the lowest one), eV per atom: 0.000
Space-group type: No. 216

a = 5.0538 Å, b = 5.0538 Å, c = 5.0538 Å
α = 60.00°, β = 60.00°, γ = 60.00°
Atoms (fractional coordinates):
K  0.0000  0.0000  0.0000
Al  0.5000  0.5000  0.5000
Ag  0.7500  0.7500  0.7500

# 5
A plane-wave DFT calculation with PBE was carried out for crystalline CdCuNiSn at its relaxed geometry.

Output
Polymorph energy (0 for the lowest one), eV per atom: 0.000
Space-group type: No. 216

a = 4.5002 Å, b = 4.5002 Å, c = 4.5002 Å
α = 60.00°, β = 60.00°, γ = 60.00°
Atoms (fractional coordinates):
Cd  0.0000  0.0000  0.0000
Cu  0.7500  0.7500  0.7500
Ni  0.2500  0.2500  0.2500
Sn  0.5000  0.5000  0.5000

# 6
A plane-wave DFT calculation with PBE was carried out for crystalline SrY2Ir at its relaxed geometry.

Output
Uncorrected energy, eV per atom: -5.698
Space-group type: No. 216

a = 5.2805 Å, b = 5.2805 Å, c = 5.2805 Å
α = 60.00°, β = 60.00°, γ = 60.00°
Atoms (fractional coordinates):
Sr  0.0000  0.0000  0.0000
Y  0.5000  0.5000  0.5000
Y  0.7500  0.7500  0.7500
Ir  0.2500  0.2500  0.2500

# 7
A plane-wave DFT calculation with PBE was carried out for crystalline RbNdInSe3 at its relaxed geometry.

Output
Uncorrected energy, eV per atom: -4.334
Space-group type: No. 63

a = 7.9121 Å, b = 7.9121 Å, c = 11.3842 Å
α = 90.00°, β = 90.00°, γ = 144.75°
Atoms (fractional coordinates):
Rb  0.2494  0.7506  0.7500
Rb  0.7506  0.2494  0.2500
Nd  0.0000  0.0000  0.0000
Nd  0.0000  0.0000  0.5000
In  0.4855  0.5145  0.2500
In  0.5145  0.4855  0.7500
Se  0.0688  0.9312  0.2500
Se  0.3788  0.6212  0.0585
Se  0.3788  0.6212  0.4415
Se  0.6212  0.3788  0.5585
Se  0.6212  0.3788  0.9415
Se  0.9312  0.0688  0.7500

# 8
A plane-wave DFT calculation with PBE was carried out for crystalline PuTlCl6 at its relaxed geometry.

Output
Uncorrected energy, eV per atom: -4.800
Space-group type: No. 2

a = 6.8927 Å, b = 6.8954 Å, c = 7.5034 Å
α = 62.68°, β = 62.66°, γ = 60.05°
Atoms (fractional coordinates):
Pu  0.0000  0.0000  0.0000
Tl  0.5000  0.5000  0.5000
Cl  0.0328  0.8012  0.7717
Cl  0.1986  0.6061  0.2283
Cl  0.3943  0.0328  0.7716
Cl  0.6057  0.9672  0.2284
Cl  0.8014  0.3939  0.7717
Cl  0.9672  0.1988  0.2283

# 9
A plane-wave DFT calculation with PBE was carried out for crystalline HoTmPt4Pb2 at its relaxed geometry.

Output
Uncorrected energy, eV per atom: -5.857
Space-group type: No. 187

a = 4.6371 Å, b = 4.6371 Å, c = 9.0134 Å
α = 90.00°, β = 90.00°, γ = 120.00°
Atoms (fractional coordinates):
Ho  0.0000  0.0000  0.0000
Tm  0.6667  0.3333  0.5000
Pt  0.0000  0.0000  0.3460
Pt  0.0000  0.0000  0.6540
Pt  0.6667  0.3333  0.1552
Pt  0.6667  0.3333  0.8448
Pb  0.3333  0.6667  0.2507
Pb  0.3333  0.6667  0.7493

# 10
A plane-wave DFT calculation with PBE was carried out for crystalline LuBe2W at its relaxed geometry.

Output
Uncorrected energy, eV per atom: -5.401
Space-group type: No. 216

a = 4.4308 Å, b = 4.4308 Å, c = 4.4308 Å
α = 60.00°, β = 60.00°, γ = 60.00°
Atoms (fractional coordinates):
Lu  0.0000  0.0000  0.0000
Be  0.2500  0.2500  0.2500
Be  0.5000  0.5000  0.5000
W  0.7500  0.7500  0.7500

# 11
A plane-wave DFT calculation with PBE was carried out for crystalline TbDyPd2 at its relaxed geometry.

Output
E_form, eV per atom: -0.919
Space-group type: No. 11

a = 5.6970 Å, b = 4.4817 Å, c = 6.9343 Å
α = 90.00°, β = 90.19°, γ = 90.00°
Atoms (fractional coordinates):
Tb  0.1423  0.2500  0.1820
Tb  0.8577  0.7500  0.8180
Dy  0.3587  0.2500  0.6814
Dy  0.6413  0.7500  0.3186
Pd  0.1555  0.7500  0.4595
Pd  0.3458  0.7500  0.9567
Pd  0.6542  0.2500  0.0433
Pd  0.8445  0.2500  0.5405

# 12
A plane-wave DFT calculation with PBE was carried out for crystalline Lu3GaB2 at its relaxed geometry.

Output
Uncorrected energy, eV per atom: -5.019
Space-group type: No. 194

a = 3.4776 Å, b = 3.4776 Å, c = 22.5269 Å
α = 90.00°, β = 90.00°, γ = 120.00°
Atoms (fractional coordinates):
Lu  0.0000  0.0000  0.0000
Lu  0.0000  0.0000  0.5000
Lu  0.3333  0.6667  0.1435
Lu  0.3333  0.6667  0.3565
Lu  0.6667  0.3333  0.6435
Lu  0.6667  0.3333  0.8565
Ga  0.0000  0.0000  0.2500
Ga  0.0000  0.0000  0.7500
B  0.3333  0.6667  0.5755
B  0.3333  0.6667  0.9245
B  0.6667  0.3333  0.0755
B  0.6667  0.3333  0.4245

Number 12 is which compound?
Lu3GaB2